# 1
DFT (PBE) results for a relaxed structure of TaVNi.

Properties
DOS at the Fermi energy (states/eV per atom): 1.278
E above lowest polymorph (meV per atom): 186

Lattice parameters (Å, degrees): 9.2441 3.2243 5.9695 90.00 106.16 90.00
Closest atoms and distances in Å follow each position.
Space group Cm (No. 8)
Unique sites:
Ta 0.0000 0.0000 0.0000 (multiplicity 2)  3 Ni 2.62-2.92, 5 V 2.65-2.90, 2 Ta 2.78
Ta 0.1739 0.5000 0.3525 (multiplicity 2)  3 V 2.62-2.88, 5 Ni 2.62-2.87, 2 Ta 2.78
V 0.1735 0.5000 0.8352 (multiplicity 2)  2 V 2.53, 2 Ta 2.65, 4 Ni 2.70-2.71
V 0.3307 0.0000 0.6758 (multiplicity 2)  2 V 2.53, 2 Ni 2.61, 4 Ta 2.62-2.67
Ni 0.3375 0.0000 0.1761 (multiplicity 2)  4 Ta 2.62, 2 Ni 2.66, 2 V 2.71
Ni 0.4966 0.5000 0.5091 (multiplicity 2)  4 V 2.61-2.70, 3 Ta 2.65-2.87, 2 Ni 2.66



# 2
DFT (PBE) results for a relaxed structure of Ta3VNi.

Properties
DOS at the Fermi energy (states/eV per atom): 1.492
E above lowest polymorph (meV per atom): 334

Lattice parameters (Å, degrees): 4.5863 4.5863 4.5863 90.00 90.00 90.00
Closest atoms and distances in Å follow each position.
Space group Pm-3m (No. 221)
Unique sites:
Ta 0.0000 0.0000 0.5000 (multiplicity 3)  2 V 2.29
V 0.0000 0.0000 0.0000 (multiplicity 1)  6 Ta 2.29
Ni 0.5000 0.5000 0.5000 (multiplicity 1)  12 Ta 3.24



# 3
DFT (PBE) results for a relaxed structure of Ta3VNi.

Properties
DOS at the Fermi energy (states/eV per atom): 1.423
E above lowest polymorph (meV per atom): 0

Lattice parameters (Å, degrees): 4.5924 4.5924 4.5924 90.00 90.00 90.00
Closest atoms and distances in Å follow each position.
Space group Pm-3m (No. 221)
Unique sites:
Ta 0.0000 0.0000 0.5000 (multiplicity 3)  2 Ni 2.30
V 0.5000 0.5000 0.5000 (multiplicity 1)  12 Ta 3.25
Ni 0.0000 0.0000 0.0000 (multiplicity 1)  6 Ta 2.30



# 4
DFT (PBE) results for a relaxed structure of TaVNi.

Properties
DOS at the Fermi energy (states/eV per atom): 1.225
E above lowest polymorph (meV per atom): 156

Lattice parameters (Å, degrees): 3.4953 4.1147 11.8637 90.00 90.00 90.00
Closest atoms and distances in Å follow each position.
Space group Fmm2 (No. 42)
Unique sites:
Ta 0.0000 0.0000 0.0000 (multiplicity 4)  4 Ni 2.65-2.87, 4 Ta 2.70, 2 V 2.79
V 0.0000 0.0000 0.3170 (multiplicity 4)  4 Ni 2.48-2.71, 4 V 2.70
Ni 0.0000 0.0000 0.6685 (multiplicity 4)  4 V 2.48-2.71, 2 Ta 2.65, 4 Ni 2.70



Number 1: total magnetic moment 0.00 μB/f.u., energy of formation -0.030 eV/atom, final energy -107.4 eV/cell. Number 2: total magnetic moment 0.00 μB/f.u., energy of formation 1.354 eV/atom, final energy -43.7 eV/cell. Number 3: total magnetic moment 2.36 μB/f.u., energy of formation 1.020 eV/atom, final energy -45.4 eV/cell. Number 4: total magnetic moment 0.00 μB/f.u., energy of formation -0.060 eV/atom, final energy -107.7 eV/cell.